No. 1
# Pr3NdHo2Te6 (PBE, optimized geometry)
# Crystal system: monoclinic
# ΔE_f (raw) (meV/atom): -1376
# ρ (g/cm3): 7.32
# Total energy (eV per atom): -5.302
# V (A^3/atom): 31.425
data_Pr3NdHo2Te6
_chemical_formula_sum 'Pr6 Nd2 Ho4 Te12'
_cell_length_a 19.525
_cell_length_b 4.414
_cell_length_c 9.022
_cell_angle_alpha 90.00
_cell_angle_beta 104.11
_cell_angle_gamma 90.00
_symmetry_space_group_name_H-M 'C 1 2/m 1'
_symmetry_Int_Tables_number 12
loop_
_symmetry_equiv_pos_as_xyz
'x,y,z'
'-x,-y,-z'
'-x,y,-z'
'x,-y,z'
'x+1/2,y+1/2,z'
'-x+1/2,-y+1/2,-z'
'-x+1/2,y+1/2,-z'
'x+1/2,-y+1/2,z'
loop_
_atom_site_label
_atom_site_type_symbol
_atom_site_fract_x
_atom_site_fract_y
_atom_site_fract_z
Pr1 Pr 0.000 0.000 0.000
Pr2 Pr 0.161 0.500 0.332
Nd1 Nd 0.000 0.000 0.500
Ho1 Ho 0.165 0.500 0.830
Te1 Te 0.006 0.500 0.751
Te2 Te 0.169 0.000 0.595
Te3 Te 0.171 0.000 0.074

No. 2
# KInP2Pt4 (PBE, optimized geometry)
# Crystal system: tetragonal
# Formation energy (eV/atom): -0.53
# ρ (g/cm3): 9.87
# Total energy (eV per atom): -5.378
# V (A^3/atom): 20.947
data_KInP2Pt4
_chemical_formula_sum 'K1 In1 P2 Pt4'
_cell_length_a 4.004
_cell_length_b 4.004
_cell_length_c 10.450
_cell_angle_alpha 90.00
_cell_angle_beta 90.00
_cell_angle_gamma 90.00
_symmetry_space_group_name_H-M 'P 4/m m m'
_symmetry_Int_Tables_number 123
_symmetry_space_group_name_Hall '-P 4 2'
loop_
_atom_site_label
_atom_site_type_symbol
_atom_site_fract_x
_atom_site_fract_y
_atom_site_fract_z
K1 K 0.000 0.000 0.000
In1 In 0.000 0.000 0.500
P1 P 0.500 0.500 0.189
Pt1 Pt 0.000 0.500 0.304

No. 3
# CaTb2DyTl4 (PBE, optimized geometry)
# Crystal system: trigonal
# Formation energy (eV/atom): -0.36
# ρ (g/cm3): 9.94
# Total energy (eV per atom): -3.528
# V (A^3/atom): 27.935
data_CaTb2DyTl4
_chemical_formula_sum 'Ca3 Tb6 Dy3 Tl12'
_cell_length_a 5.4003
_cell_length_b 5.4003
_cell_length_c 26.5454
_cell_angle_alpha 90.00
_cell_angle_beta 90.00
_cell_angle_gamma 120.00
_symmetry_space_group_name_H-M 'R -3 m'
_symmetry_Int_Tables_number 166
_symmetry_space_group_name_Hall '-R 3 2"'
loop_
_atom_site_label
_atom_site_type_symbol
_atom_site_fract_x
_atom_site_fract_y
_atom_site_fract_z
Ca1 Ca 0.0000 0.0000 0.0000
Tb1 Tb 0.0000 0.0000 0.2525
Dy1 Dy 0.0000 0.0000 0.5000
Tl1 Tl 0.0000 0.0000 0.1265
Tl2 Tl 0.0000 0.0000 0.3768

No. 4
# CaLa3N4 (PBE, optimized geometry)
# Crystal system: cubic
# ΔE_f (raw) (meV/atom): -1113
# ρ (g/cm3): 6.01
# Total energy (eV per atom): -7.374
# V (A^3/atom): 17.697
data_CaLa3N4
_chemical_formula_sum 'Ca1 La3 N4'
_cell_length_a 5.212
_cell_length_b 5.212
_cell_length_c 5.212
_cell_angle_alpha 90.00
_cell_angle_beta 90.00
_cell_angle_gamma 90.00
_symmetry_space_group_name_H-M 'P m -3 m'
_symmetry_Int_Tables_number 221
_symmetry_space_group_name_Hall '-P 4 2 3'
loop_
_atom_site_label
_atom_site_type_symbol
_atom_site_fract_x
_atom_site_fract_y
_atom_site_fract_z
Ca1 Ca 0.000 0.000 0.000
La1 La 0.000 0.500 0.500
N1 N 0.000 0.000 0.500
N2 N 0.500 0.500 0.500

- Look up the V of the first one.
  31.425 A^3/atom